# 1
# PBE-GGA AgSnPb2, relaxed
data_AgSnPb2
_space_group_name_H-M_alt 'R -3 m'
_space_group_IT_number 166
_space_group_name_Hall '-R 3 2"'
_cell_length_a 3.3331
_cell_length_b 3.3331
_cell_length_c 35.3866
_cell_angle_alpha 90.00
_cell_angle_beta 90.00
_cell_angle_gamma 120.00
loop_
_atom_site_label
_atom_site_type_symbol
_atom_site_fract_x
_atom_site_fract_y
_atom_site_fract_z
Ag1 Ag 0.0000 0.0000 0.0000
Sn1 Sn 0.0000 0.0000 0.5000
Pb1 Pb 0.0000 0.0000 0.0832
# energy relative to the elements: 194 meV/atom
# raw total energy: -3.37 eV/atom

---

# 2
# PBE-GGA Ag5Sn12Pb3, relaxed
data_Ag5Sn12Pb3
_space_group_name_H-M_alt 'I a -3 d'
_space_group_IT_number 230
_space_group_name_Hall '-I 4bd 2c 3'
_cell_length_a 17.068
_cell_length_b 17.068
_cell_length_c 17.068
_cell_angle_alpha 90.00
_cell_angle_beta 90.00
_cell_angle_gamma 90.00
loop_
_atom_site_label
_atom_site_type_symbol
_atom_site_fract_x
_atom_site_fract_y
_atom_site_fract_z
Ag1 Ag 0.000 0.000 0.000
Ag2 Ag 0.000 0.250 0.375
Sn1 Sn 0.023 0.070 0.647
Pb1 Pb 0.000 0.250 0.125
# energy relative to the elements: 225 meV/atom
# raw total energy: -3.45 eV/atom

---

# 3
# PBE-GGA AgSn2Pb, relaxed
data_AgSn2Pb
_space_group_name_H-M_alt 'P 4/m m m'
_space_group_IT_number 123
_space_group_name_Hall '-P 4 2'
_cell_length_a 3.744
_cell_length_b 3.744
_cell_length_c 7.464
_cell_angle_alpha 90.00
_cell_angle_beta 90.00
_cell_angle_gamma 90.00
loop_
_atom_site_label
_atom_site_type_symbol
_atom_site_fract_x
_atom_site_fract_y
_atom_site_fract_z
Ag1 Ag 0.000 0.000 0.000
Sn1 Sn 0.500 0.500 0.211
Pb1 Pb 0.000 0.000 0.500
# energy relative to the elements: 69 meV/atom
# raw total energy: -3.57 eV/atom

---

# 4
# PBE-GGA AgSnPb2, relaxed
data_AgSnPb2
_space_group_name_H-M_alt 'P -3 m 1'
_space_group_IT_number 164
_space_group_name_Hall '-P 3 2"'
_cell_length_a 4.8451
_cell_length_b 4.8451
_cell_length_c 5.7905
_cell_angle_alpha 90.00
_cell_angle_beta 90.00
_cell_angle_gamma 120.00
loop_
_atom_site_label
_atom_site_type_symbol
_atom_site_fract_x
_atom_site_fract_y
_atom_site_fract_z
Ag1 Ag 0.0000 0.0000 0.0000
Sn1 Sn 0.0000 0.0000 0.5000
Pb1 Pb 0.3333 0.6667 0.2235
# energy relative to the elements: 119 meV/atom
# raw total energy: -3.45 eV/atom

---

energy relative to the elements of number 1 (AgSnPb2)?
194 meV/atom

---

Look up the energy relative to the elements of the first one.
194 meV/atom

---

Which of these has the lowest energy relative to the elements?
AgSn2Pb

---

Which formula does entry 3 have?
AgSn2Pb